(1)
The following is a DFT calculation (PBE) of an optimized crystal structure of TiBeN2O.

abc: 3.270 3.270 3.806
angles: 90.00 90.00 90.00
Positions (direct):
1 Ti 0.000 0.000 0.000
2 Be 0.500 0.500 0.500
3 N 0.000 0.500 0.500
4 N 0.500 0.000 0.500
5 O 0.500 0.500 0.000

- D(E_F): 0.5899 states/eV per atom
- ρ: 4.12 Mg/m³
- ΔE_f (raw): -254 meV per atom
- Space-group type: P4/mmm, No. 123
- Volume: 8.141 A^3/atom
- Final energy: -6.90 eV per atom

---

(2)
The following is a DFT calculation (PBE) of an optimized crystal structure of Rb2UCuSe6.

abc: 7.400 7.400 7.400
angles: 60.00 60.00 60.00
Positions (direct):
1 Rb 0.250 0.250 0.250
2 Rb 0.750 0.750 0.750
3 U 0.000 0.000 0.000
4 Cu 0.500 0.500 0.500
5 Se 0.255 0.255 0.745
6 Se 0.255 0.745 0.255
7 Se 0.255 0.745 0.745
8 Se 0.745 0.255 0.255
9 Se 0.745 0.255 0.745
10 Se 0.745 0.745 0.255

- D(E_F): 1.2446 states/eV per atom
- ρ: 5.48 Mg/m³
- ΔE_f (raw): -680 meV per atom
- Space-group type: Fm-3m, No. 225
- Volume: 28.655 A^3/atom
- Final energy: -4.50 eV per atom

---

(3)
The following is a DFT calculation (PBE) of an optimized crystal structure of LaMg4Au2.

abc: 8.437 8.437 4.456
angles: 90.00 90.00 90.00
Positions (direct):
1 La 0.000 0.000 0.000
2 La 0.500 0.500 0.500
3 Mg 0.087 0.337 0.500
4 Mg 0.163 0.587 0.000
5 Mg 0.337 0.087 0.500
6 Mg 0.413 0.837 0.000
7 Mg 0.587 0.163 0.000
8 Mg 0.663 0.913 0.500
9 Mg 0.837 0.413 0.000
10 Mg 0.913 0.663 0.500
11 Au 0.217 0.783 0.500
12 Au 0.283 0.283 0.000
13 Au 0.717 0.717 0.000
14 Au 0.783 0.217 0.500

- D(E_F): 0.4776 states/eV per atom
- ρ: 6.60 Mg/m³
- Space-group type: P4_2/mnm, No. 136
- Volume: 22.653 A^3/atom
- Formation energy: -0.5342 eV/atom
- Final energy: -3.09 eV per atom

---

(4)
The following is a DFT calculation (PBE) of an optimized crystal structure of Rb2PuMg3Cl12.

abc: 9.701 9.701 9.701
angles: 56.11 56.11 56.11
Positions (direct):
1 Rb 0.084 0.084 0.084
2 Rb 0.916 0.916 0.916
3 Pu 0.500 0.500 0.500
4 Mg 0.000 0.500 0.500
5 Mg 0.500 0.000 0.500
6 Mg 0.500 0.500 0.000
7 Cl 0.167 0.578 0.578
8 Cl 0.179 0.179 0.581
9 Cl 0.179 0.581 0.179
10 Cl 0.419 0.821 0.821
11 Cl 0.422 0.422 0.833
12 Cl 0.422 0.833 0.422
13 Cl 0.578 0.167 0.578
14 Cl 0.578 0.578 0.167
15 Cl 0.581 0.179 0.179
16 Cl 0.821 0.419 0.821
17 Cl 0.821 0.821 0.419
18 Cl 0.833 0.422 0.422

- D(E_F): 0.1921 states/eV per atom
- ρ: 2.58 Mg/m³
- ΔE_f (raw): -1783 meV per atom
- Space-group type: R-3m, No. 166
- Volume: 32.636 A^3/atom
- Final energy: -4.18 eV per atom